[1]
# TaNiOs

TaNiOs after structural relaxation (PBE-GGA, the Alexandria database).

Lattice parameters (Å, degrees): 5.1119 5.1119 6.2777 97.15 97.15 33.63
With the nearest neighbours (Å) after each atom.
Positions (direct):
Ta 0.0611 0.0611 0.2818  4 Ni 2.54-2.79, 4 Os 2.70-2.72
Ta 0.9389 0.9389 0.7182  4 Ni 2.54-2.79, 4 Os 2.70-2.72
Ni 0.2133 0.2133 0.6425  2 Ni 2.50, 4 Ta 2.54-2.79, 3 Os 2.63-2.77
Ni 0.7867 0.7867 0.3575  2 Ni 2.50, 4 Ta 2.54-2.79, 3 Os 2.63-2.77
Os 0.3644 0.3644 0.0478  3 Ni 2.63-2.77, 3 Os 2.69-2.80, 4 Ta 2.70-2.72
Os 0.6356 0.6356 0.9522  3 Ni 2.63-2.77, 3 Os 2.69-2.80, 4 Ta 2.70-2.72

Computed properties:
Distance to the lowest polymorph of the same formula in eV/atom: 0.320
Space-group type: No. 12
Final energy in eV per atom: -9.64
Formation enthalpy at 0 K in eV/atom: -0.023
Total moment in Bohr magnetons per cell: 0.000
Mass density in kg/m3: 15847



[2]
# Ca2MgMoN4

Ca2MgMoN4 after structural relaxation (PBE-GGA, the Alexandria database).

Lattice parameters (Å, degrees): 7.1196 6.4354 5.4689 90.00 90.00 90.00
With the nearest neighbours (Å) after each atom.
Positions (direct):
Ca 0.2476 0.1772 0.0000  4 N 2.28-2.45
Ca 0.2524 0.8228 0.5000  4 N 2.28-2.45
Ca 0.7476 0.8228 0.5000  4 N 2.28-2.45
Ca 0.7524 0.1772 0.0000  4 N 2.28-2.45
Mg 0.0000 0.3464 0.5159  4 N 2.06-2.21
Mg 0.5000 0.6536 0.0159  4 N 2.06-2.21
Mo 0.0000 0.6623 0.0237  4 N 1.85-1.92
Mo 0.5000 0.3377 0.5237  4 N 1.85-1.92
N 0.0000 0.3940 0.8950  1 Mo 1.87
N 0.0000 0.6385 0.3608  1 Mo 1.85, 1 Mg 2.06
N 0.2279 0.8079 0.9471  1 Mo 1.92
N 0.2721 0.1921 0.4471  1 Mo 1.92
N 0.5000 0.3615 0.8608  1 Mo 1.85, 1 Mg 2.06
N 0.5000 0.6060 0.3950  1 Mo 1.87
N 0.7279 0.1921 0.4471  1 Mo 1.92
N 0.7721 0.8079 0.9471  1 Mo 1.92

Computed properties:
Space-group type: No. 31
Final energy in eV per atom: -7.14
E_form (uncorrected) in meV/atom: -920
Total moment in Bohr magnetons per cell: 0.000
Mass density in kg/m3: 3399



[3]
# ScSi2B

ScSi2B after structural relaxation (PBE-GGA, the Alexandria database).

Lattice parameters (Å, degrees): 5.3466 5.3466 5.3466 104.58 104.58 119.77
With the nearest neighbours (Å) after each atom.
Positions (direct):
Sc 0.0000 0.0000 0.0000  2 B 2.68, 8 Si 2.80-2.81
Sc 0.7500 0.2500 0.5000  2 B 2.68, 8 Si 2.80-2.81
Si 0.2078 0.6250 0.0828  2 B 2.08
Si 0.3750 0.4578 0.5828  2 B 2.08
Si 0.5422 0.1250 0.9172  2 B 2.08
Si 0.8750 0.7922 0.4172  2 B 2.08
B 0.2500 0.7500 0.5000  4 Si 2.08
B 0.5000 0.5000 0.0000  4 Si 2.08

Computed properties:
Space-group type: No. 122
Final energy in eV per atom: -6.10
E_form (uncorrected) in meV/atom: -134
Total moment in Bohr magnetons per cell: 0.000
Mass density in kg/m3: 3239



[4]
# CaTh3Pt3

CaTh3Pt3 after structural relaxation (PBE-GGA, the Alexandria database).

Lattice parameters (Å, degrees): 12.5958 4.1051 14.4674 90.00 90.00 90.00
With the nearest neighbours (Å) after each atom.
Positions (direct):
Ca 0.0173 0.2500 0.1888  2 Pt 2.97
Ca 0.4827 0.7500 0.6888  2 Pt 2.97
Ca 0.5173 0.2500 0.3112  2 Pt 2.97
Ca 0.9827 0.7500 0.8112  2 Pt 2.97
Th 0.0437 0.2500 0.6048  5 Pt 2.94-3.02
Th 0.1836 0.7500 0.0314  6 Pt 2.86-3.15
Th 0.2486 0.2500 0.8071  5 Pt 2.97-3.02
Th 0.2514 0.7500 0.3071  5 Pt 2.97-3.02
Th 0.3164 0.2500 0.5314  6 Pt 2.86-3.15
Th 0.4563 0.7500 0.1048  5 Pt 2.94-3.02
Th 0.5437 0.2500 0.8952  5 Pt 2.94-3.02
Th 0.6836 0.7500 0.4686  6 Pt 2.86-3.15
Th 0.7486 0.2500 0.6929  5 Pt 2.97-3.02
Th 0.7514 0.7500 0.1929  5 Pt 2.97-3.02
Th 0.8164 0.2500 0.9686  6 Pt 2.86-3.15
Th 0.9563 0.7500 0.3952  5 Pt 2.94-3.02
Pt 0.0648 0.2500 0.9409  4 Th 2.86-3.15, 2 Ca 2.97, 2 Pt 3.13
Pt 0.1224 0.2500 0.4076  6 Th 2.94-3.03
Pt 0.2057 0.7500 0.6639  6 Th 2.97-3.14
Pt 0.2943 0.2500 0.1639  6 Th 2.97-3.14
Pt 0.3776 0.7500 0.9076  6 Th 2.94-3.03
Pt 0.4352 0.7500 0.4409  4 Th 2.86-3.15, 2 Ca 2.97, 2 Pt 3.13
Pt 0.5648 0.2500 0.5591  4 Th 2.86-3.15, 2 Ca 2.97, 2 Pt 3.13
Pt 0.6224 0.2500 0.0924  6 Th 2.94-3.03
Pt 0.7057 0.7500 0.8361  6 Th 2.97-3.14
Pt 0.7943 0.2500 0.3361  6 Th 2.97-3.14
Pt 0.8776 0.7500 0.5924  6 Th 2.94-3.03
Pt 0.9352 0.7500 0.0591  4 Th 2.86-3.15, 2 Ca 2.97, 2 Pt 3.13

Computed properties:
Space-group type: No. 62
Final energy in eV per atom: -7.05
Formation enthalpy at 0 K in eV/atom: -0.998
Total moment in Bohr magnetons per cell: 0.000
Mass density in kg/m3: 11733



[5]
# Ba2CaTl

Ba2CaTl after structural relaxation (PBE-GGA, the Alexandria database).

Lattice parameters (Å, degrees): 4.1898 4.1898 10.4899 90.00 90.00 90.00
With the nearest neighbours (Å) after each atom.
Positions (direct):
Ba 0.0000 0.0000 0.0000  4 Tl 3.72, 1 Ca 3.79
Ba 0.5000 0.5000 0.3497  4 Ba 4.19, 4 Ca 4.24, 1 Tl 4.57
Ca 0.0000 0.0000 0.6383  4 Tl 3.34
Tl 0.5000 0.5000 0.7852  4 Ca 3.34, 4 Ba 3.72

Computed properties:
Distance to the lowest polymorph of the same formula in eV/atom: 0.019
Space-group type: No. 99
Final energy in eV per atom: -2.25
Formation enthalpy at 0 K in eV/atom: -0.196
Total moment in Bohr magnetons per cell: 0.000
Mass density in kg/m3: 4681



[6]
# LiCrOs2

LiCrOs2 after structural relaxation (PBE-GGA, the Alexandria database).

Lattice parameters (Å, degrees): 4.4383 4.4383 4.7776 98.51 98.51 34.77
With the nearest neighbours (Å) after each atom.
Positions (direct):
Li 0.0000 0.0000 0.0000  6 Os 2.50-2.69, 2 Li 2.65, 4 Cr 2.73
Cr 0.5000 0.5000 0.5000  6 Os 2.56-2.67, 2 Cr 2.65, 4 Li 2.73
Os 0.2390 0.2390 0.7504  3 Li 2.50-2.69, 3 Cr 2.56-2.67, 6 Os 2.65-2.77
Os 0.7610 0.7610 0.2496  3 Li 2.50-2.69, 3 Cr 2.56-2.67, 6 Os 2.65-2.77

Computed properties:
Distance to the lowest polymorph of the same formula in eV/atom: 0.142
Space-group type: No. 12
Final energy in eV per atom: -8.25
Formation enthalpy at 0 K in eV/atom: 0.250
Total moment in Bohr magnetons per cell: 0.496
Mass density in kg/m3: 13762



[7]
# Tm3Zn2Pt

Tm3Zn2Pt after structural relaxation (PBE-GGA, the Alexandria database).

Lattice parameters (Å, degrees): 4.9276 4.9276 6.0513 90.00 90.00 120.00
With the nearest neighbours (Å) after each atom.
Positions (direct):
Tm 0.0000 0.0000 0.0000  6 Zn 2.98, 2 Pt 3.03
Tm 0.3333 0.6667 0.6556  5 Zn 2.97-3.09, 3 Pt 3.00
Tm 0.6667 0.3333 0.3444  5 Zn 2.97-3.09, 3 Pt 3.00
Zn 0.3333 0.6667 0.1457  8 Tm 2.97-3.09
Zn 0.6667 0.3333 0.8543  8 Tm 2.97-3.09
Pt 0.0000 0.0000 0.5000  8 Tm 3.00-3.03

Computed properties:
Distance to the lowest polymorph of the same formula in eV/atom: 0.000
Space-group type: No. 164
Final energy in eV per atom: -4.36
Formation enthalpy at 0 K in eV/atom: -0.692
Total moment in Bohr magnetons per cell: 0.000
Mass density in kg/m3: 10866